(1)
Here is a geometry-optimized Rb2CoTe2S structure from OQMD. Energies are from PBE-GGA.

POSCAR file:
```
Rb2CoTe2S
1.0
6.954 0.000 0.000
-2.179 6.914 0.000
-2.104 -2.146 8.491
Rb Co Te S
4 2 4 2
direct
0.102 0.354 0.161
0.365 0.900 0.665
0.635 0.100 0.335
0.898 0.646 0.839
0.374 0.418 0.861
0.626 0.582 0.139
0.003 0.833 0.259
0.323 0.367 0.563
0.677 0.633 0.437
0.997 0.167 0.741
0.424 0.698 0.000
0.576 0.302 0.000
```

Output
**Raw total energy**: -0.2823 Ry/atom
**Density**: 4.21 Mg/m³

***

(2)
Here is a geometry-optimized Na4TlZn2Pb structure from OQMD. Energies are from PBE-GGA.

POSCAR file:
```
Na4TlZn2Pb
1.0
5.125 0.000 0.000
0.000 5.125 0.000
0.000 0.000 7.312
Na Tl Zn Pb
4 1 2 1
direct
0.000 0.000 0.000
0.000 0.500 0.248
0.500 0.000 0.752
0.500 0.500 0.500
0.500 0.500 0.000
0.000 0.500 0.752
0.500 0.000 0.248
0.000 0.000 0.500
```

Output
**Raw total energy**: -0.1316 Ry/atom
**Density**: 5.48 Mg/m³

***

(3)
Here is a geometry-optimized HoInPt structure from OQMD. Energies are from PBE-GGA.

POSCAR file:
```
HoInPt
1.0
7.478 0.000 0.000
-3.739 6.477 0.000
0.000 0.000 4.012
Ho In Pt
3 3 3
direct
0.000 0.591 0.000
0.409 0.409 0.000
0.591 0.000 0.000
0.000 0.256 0.500
0.256 0.000 0.500
0.744 0.744 0.500
0.000 0.000 0.000
0.333 0.667 0.500
0.667 0.333 0.500
```

Output
**Raw total energy**: -0.4007 Ry/atom
**Density**: 12.17 Mg/m³

***

(4)
Here is a geometry-optimized Dy2H2BrCl3 structure from OQMD. Energies are from PBE-GGA.

POSCAR file:
```
Dy2H2BrCl3
1.0
3.759 0.000 0.000
-1.880 3.256 0.000
0.000 0.000 14.020
Dy H Br Cl
2 2 1 3
direct
0.000 0.000 0.000
0.000 0.000 0.495
0.333 0.667 0.998
0.667 0.333 0.495
0.667 0.333 0.861
0.333 0.667 0.370
0.333 0.667 0.620
0.667 0.333 0.124
```

Output
**Raw total energy**: -0.3385 Ry/atom
**Density**: 4.97 Mg/m³

***

(5)
Here is a geometry-optimized BaErNO structure from OQMD. Energies are from PBE-GGA.

POSCAR file:
```
BaErNO
1.0
3.864 0.000 0.000
0.000 7.202 0.000
0.000 0.000 6.175
Ba Er N O
2 2 2 2
direct
0.000 0.168 0.000
0.000 0.832 0.500
0.500 0.346 0.512
0.500 0.654 0.012
0.000 0.203 0.439
0.000 0.797 0.939
0.500 0.380 0.861
0.500 0.620 0.361
```

Output
**Raw total energy**: -0.5060 Ry/atom
**Density**: 6.47 Mg/m³
**Polymorph energy (0 for the lowest one)**: 70 meV per atom

***

(6)
Here is a geometry-optimized Y4InIr structure from OQMD. Energies are from PBE-GGA.

POSCAR file:
```
Y4InIr
1.0
0.000 6.857 6.857
6.857 0.000 6.857
6.857 6.857 0.000
Y In Ir
16 4 4
direct
0.058 0.058 0.442
0.058 0.442 0.058
0.058 0.442 0.442
0.190 0.190 0.810
0.190 0.810 0.190
0.190 0.810 0.810
0.204 0.599 0.599
0.442 0.058 0.058
0.442 0.058 0.442
0.442 0.442 0.058
0.599 0.204 0.599
0.599 0.599 0.204
0.599 0.599 0.599
0.810 0.190 0.190
0.810 0.190 0.810
0.810 0.810 0.190
0.501 0.833 0.833
0.833 0.501 0.833
0.833 0.833 0.501
0.833 0.833 0.833
0.391 0.391 0.391
0.391 0.391 0.827
0.391 0.827 0.391
0.827 0.391 0.391
```

Output
**Raw total energy**: -0.5017 Ry/atom
**Density**: 6.82 Mg/m³

***

(7)
Here is a geometry-optimized HfMgCoB structure from OQMD. Energies are from PBE-GGA.

POSCAR file:
```
HfMgCoB
1.0
0.000 2.962 2.962
2.962 0.000 2.962
2.962 2.962 0.000
Hf Mg Co B
1 1 1 1
direct
0.000 0.000 0.000
0.750 0.750 0.750
0.500 0.500 0.500
0.250 0.250 0.250
```

Output
**Raw total energy**: -0.4362 Ry/atom
**Density**: 8.71 Mg/m³
**Polymorph energy (0 for the lowest one)**: 291 meV per atom

***

Question: Which formula does entry 2 have?
Answer: Na4TlZn2Pb